A relaxed ZrGe2Pb2 crystal, computed with GGA-PBE.

Its total energy is -0.184 hartree per atom. For the formation enthalpy at 0 K, the calculation gives 0.038 eV/atom.

It has space group P4/mbm (No. 127), with a = 7.267 Å, b = 7.267 Å, c = 4.610 Å, α = 90.00°, β = 90.00° and γ = 90.00°. The inequivalent atoms are Zr at (0.000, 0.000, 0.000), Ge at (0.129, 0.371, 0.000) and Pb at (0.179, 0.679, 0.500).